Below is HfFeBi2O6 after structural relaxation, with properties calculated at the GGA+U level.

```
20
Lattice="-0.160 -3.730 -4.209 5.119 2.270 -2.207 4.172 -5.234 4.294" Properties=species:S:1:pos:R:3 pbc="T T T"
O 7.909 -6.223 -1.212
O 3.641 0.095 -2.570
O 5.490 -6.789 0.448
O 5.467 -3.323 1.698
O 3.755 -4.720 -1.094
O 7.989 -3.166 -0.498
O 3.665 -3.372 -3.819
O 1.142 -3.528 -1.623
O 6.395 -4.056 -2.850
O 1.222 -0.472 -0.910
O 2.736 -2.639 0.728
O 5.376 -1.974 -1.027
Bi 3.289 -2.110 -1.971
Bi 3.221 -7.512 -1.034
Bi 5.910 0.818 -1.088
Bi 5.842 -4.584 -0.151
Hf 2.006 -4.482 0.043
Hf 2.560 1.135 -1.103
Fe 4.646 -1.482 1.044
Fe -0.080 -1.865 -2.104
```

Values from the calculation:
* total DFT energy (no corrections): -7.235 eV/atom
* crystal system: monoclinic
* M_tot: 4.0 μB per formula unit